# 1
Compound: Mg2AlSe
Source: the Alexandria database
Functional: PBE
Structure: relaxed

Unit cell a=3.8462 b=3.7662 c=6.1186 alpha=90.00 beta=101.98 gamma=90.00
Closest atoms and distances in Å follow each position.
Sites, in units of the cell vectors:
Mg 0.0000 0.0000 0.0000  1 Se 2.72, 4 Al 2.87-2.89
Mg 0.3958 0.5000 0.6537  4 Se 2.76-2.78
Al 0.5529 0.5000 0.1714  6 Mg 2.87-3.13, 2 Se 3.02
Se 0.8643 0.0000 0.5462  5 Mg 2.72-2.78, 2 Al 3.02

Calculated values
The calculation puts the energy above the most stable polymorph in this dataset at 0.136 eV per atom. For the formation energy without anion corrections, the calculation gives -1.042 eV/f.u. The calculation puts the final energy at -11.46 eV for the cell shown.



# 2
Compound: YFeP2Br
Source: the Alexandria database
Functional: PBE
Structure: relaxed

Unit cell a=5.3044 b=5.3044 c=5.4117 alpha=90.00 beta=90.00 gamma=90.00
Closest atoms and distances in Å follow each position.
Sites, in units of the cell vectors:
Y 0.0000 0.0000 0.0000  4 P 2.65, 2 Br 2.71
Fe 0.5000 0.5000 0.5000  4 Br 3.75, 8 P 3.79
P 0.0000 0.5000 0.0000  2 Y 2.65
P 0.5000 0.0000 0.0000  2 Y 2.65
Br 0.0000 0.0000 0.5000  2 Y 2.71

Calculated values
For the formation energy without anion corrections, the calculation gives 3.439 eV/f.u. The calculation puts the final energy at -23.98 eV for the cell shown.



# 3
Compound: MoPt2Br
Source: the Alexandria database
Functional: PBE
Structure: relaxed

Unit cell a=5.4364 b=8.7677 c=2.8271 alpha=90.00 beta=90.00 gamma=90.00
Closest atoms and distances in Å follow each position.
Sites, in units of the cell vectors:
Mo 0.0000 0.0000 0.0000  2 Br 2.72, 2 Mo 2.83, 8 Pt 2.94
Mo 0.5000 0.5000 0.0000  2 Br 2.72, 2 Mo 2.83, 8 Pt 2.94
Pt 0.2500 0.2500 0.5000  4 Pt 2.72-2.83, 4 Mo 2.94, 4 Br 2.94
Pt 0.2500 0.7500 0.5000  4 Pt 2.72-2.83, 4 Mo 2.94, 4 Br 2.94
Pt 0.7500 0.2500 0.5000  4 Pt 2.72-2.83, 4 Mo 2.94, 4 Br 2.94
Pt 0.7500 0.7500 0.5000  4 Pt 2.72-2.83, 4 Mo 2.94, 4 Br 2.94
Br 0.0000 0.5000 0.0000  2 Mo 2.72, 2 Br 2.83, 8 Pt 2.94
Br 0.5000 0.0000 0.0000  2 Mo 2.72, 2 Br 2.83, 8 Pt 2.94

Calculated values
The calculation puts the energy above the most stable polymorph in this dataset at 0.565 eV per atom. For the formation energy without anion corrections, the calculation gives 2.450 eV/f.u. The calculation puts the final energy at -44.27 eV for the cell shown.



# 4
Compound: Sr5Cd3
Source: the Alexandria database
Functional: PBE
Structure: relaxed

Unit cell a=10.3131 b=10.3131 c=10.3131 alpha=129.64 beta=129.64 gamma=73.99
Closest atoms and distances in Å follow each position.
Sites, in units of the cell vectors:
Sr 0.0000 0.0000 0.0000  4 Cd 3.48
Sr 0.0204 0.5204 0.8357  5 Cd 3.55-3.68, 1 Sr 3.95
Sr 0.1847 0.0204 0.5000  5 Cd 3.55-3.68, 1 Sr 3.95
Sr 0.3153 0.8153 0.8357  5 Cd 3.55-3.68, 1 Sr 3.95
Sr 0.4796 0.3153 0.5000  5 Cd 3.55-3.68, 1 Sr 3.95
Sr 0.5000 0.5000 0.0000  4 Cd 3.48
Sr 0.5204 0.6847 0.5000  5 Cd 3.55-3.68, 1 Sr 3.95
Sr 0.6847 0.1847 0.1643  5 Cd 3.55-3.68, 1 Sr 3.95
Sr 0.8153 0.9796 0.5000  5 Cd 3.55-3.68, 1 Sr 3.95
Sr 0.9796 0.4796 0.1643  5 Cd 3.55-3.68, 1 Sr 3.95
Cd 0.1233 0.3767 0.5000  1 Cd 3.06
Cd 0.2500 0.2500 0.0000  10 Sr 3.68-4.12
Cd 0.3767 0.8767 0.2533  1 Cd 3.06
Cd 0.6233 0.1233 0.7467  1 Cd 3.06
Cd 0.7500 0.7500 0.0000  10 Sr 3.68-4.12
Cd 0.8767 0.6233 0.5000  1 Cd 3.06

Calculated values
The calculation puts the energy above the most stable polymorph in this dataset at 0.012 eV per atom. The formation energy from the elements is -0.250 eV/atom. The calculation puts the final energy at -26.31 eV for the cell shown.



What are the M_tot values for these records? In order: 0.00 3.96 0.23 0.00 μB/cell.